# 1
## ScMnRh2 (PBE)

Data for crystalline ScMnRh2 at its relaxed geometry.

Geometry as extended XYZ:
```
16
Lattice="6.271 0.000 0.000 0.000 6.271 0.000 0.000 0.000 6.271" Properties=species:S:1:pos:R:3 pbc="T T T"
Sc 0.000 0.000 0.000
Sc 0.000 3.136 3.136
Sc 3.136 0.000 3.136
Sc 3.136 3.136 0.000
Mn 0.000 0.000 3.136
Mn 0.000 3.136 0.000
Mn 3.136 0.000 0.000
Mn 3.136 3.136 3.136
Rh 1.568 1.568 1.568
Rh 1.568 1.568 4.703
Rh 1.568 4.703 1.568
Rh 1.568 4.703 4.703
Rh 4.703 1.568 1.568
Rh 4.703 1.568 4.703
Rh 4.703 4.703 1.568
Rh 4.703 4.703 4.703
```

For the magnetization, the calculation gives 4.243 μB/f.u. The value obtained for the uncorrected energy is -8.17 eV/atom. As for the density of states at the Fermi level: 7.75 states/eV/cell.

***

# 2
## ScMnRh2 (PBE)

Data for crystalline ScMnRh2 at its relaxed geometry.

Geometry as extended XYZ:
```
16
Lattice="6.282 0.000 0.000 0.000 6.282 0.000 0.000 0.000 6.282" Properties=species:S:1:pos:R:3 pbc="T T T"
Sc 0.000 0.000 0.000
Sc 0.000 3.141 3.141
Sc 3.141 0.000 3.141
Sc 3.141 3.141 0.000
Mn 1.571 1.571 4.712
Mn 1.571 4.712 1.571
Mn 4.712 1.571 1.571
Mn 4.712 4.712 4.712
Rh 0.000 0.000 3.141
Rh 0.000 3.141 0.000
Rh 1.571 1.571 1.571
Rh 1.571 4.712 4.712
Rh 3.141 0.000 0.000
Rh 3.141 3.141 3.141
Rh 4.712 1.571 4.712
Rh 4.712 4.712 1.571
```

For the magnetization, the calculation gives 4.034 μB/f.u. The value obtained for the uncorrected energy is -7.81 eV/atom. As for the density of states at the Fermi level: 16.64 states/eV/cell.

***

# 3
## ScMnRh2 (PBE)

Data for crystalline ScMnRh2 at its relaxed geometry.

Geometry as extended XYZ:
```
12
Lattice="2.995 0.000 0.000 -1.498 2.594 0.000 0.000 0.000 24.648" Properties=species:S:1:pos:R:3 pbc="T T T"
Sc 0.000 0.000 0.000
Sc 0.000 1.729 16.432
Sc 1.498 0.865 8.216
Mn 0.000 0.000 12.324
Mn 0.000 1.729 4.108
Mn 1.498 0.865 20.540
Rh 0.000 0.000 6.146
Rh 0.000 0.000 18.502
Rh 0.000 1.729 10.286
Rh 0.000 1.729 22.578
Rh 1.498 0.865 2.070
Rh 1.498 0.865 14.362
```

For the magnetization, the calculation gives 4.303 μB/f.u. The value obtained for the uncorrected energy is -7.80 eV/atom. As for the density of states at the Fermi level: 6.01 states/eV/cell.

***

# 4
## ScMn2Rh (PBE)

Data for crystalline ScMn2Rh at its relaxed geometry.

Geometry as extended XYZ:
```
16
Lattice="6.240 0.000 0.000 0.000 6.240 0.000 0.000 0.000 6.240" Properties=species:S:1:pos:R:3 pbc="T T T"
Sc 0.000 0.000 0.000
Sc 0.000 3.120 3.120
Sc 3.120 0.000 3.120
Sc 3.120 3.120 0.000
Mn 0.000 0.000 3.120
Mn 0.000 3.120 0.000
Mn 1.560 1.560 4.680
Mn 1.560 4.680 1.560
Mn 3.120 0.000 0.000
Mn 3.120 3.120 3.120
Mn 4.680 1.560 1.560
Mn 4.680 4.680 4.680
Rh 1.560 1.560 1.560
Rh 1.560 4.680 4.680
Rh 4.680 1.560 4.680
Rh 4.680 4.680 1.560
```

For the magnetization, the calculation gives 1.498 μB/f.u. The value obtained for the uncorrected energy is -8.25 eV/atom. As for the density of states at the Fermi level: 12.48 states/eV/cell.

***

# 5
## ScMn2Rh (PBE)

Data for crystalline ScMn2Rh at its relaxed geometry.

Geometry as extended XYZ:
```
16
Lattice="7.194 0.000 0.000 0.000 7.194 0.000 0.000 0.000 5.305" Properties=species:S:1:pos:R:3 pbc="T T T"
Sc 0.000 0.000 0.000
Sc 0.000 3.597 1.326
Sc 3.597 0.000 3.979
Sc 3.597 3.597 2.653
Mn 1.526 1.799 3.316
Mn 1.799 5.123 4.642
Mn 1.799 5.668 1.989
Mn 2.071 1.799 0.663
Mn 5.123 5.396 0.663
Mn 5.396 1.526 1.989
Mn 5.396 2.071 4.642
Mn 5.668 5.396 3.316
Rh 0.000 0.000 2.653
Rh 0.000 3.597 3.979
Rh 3.597 0.000 1.326
Rh 3.597 3.597 0.000
```

For the magnetization, the calculation gives 6.767 μB/f.u. The value obtained for the uncorrected energy is -7.83 eV/atom. As for the density of states at the Fermi level: 14.22 states/eV/cell.

***

# 6
## Sc3MnRh (PBE)

Data for crystalline Sc3MnRh at its relaxed geometry.

Geometry as extended XYZ:
```
5
Lattice="4.979 0.000 0.000 0.000 4.979 0.000 0.000 0.000 4.979" Properties=species:S:1:pos:R:3 pbc="T T T"
Sc 0.000 0.000 2.489
Sc 0.000 2.489 0.000
Sc 2.489 0.000 0.000
Mn 2.489 2.489 2.489
Rh 0.000 0.000 0.000
```

For the magnetization, the calculation gives 3.846 μB/f.u. The value obtained for the uncorrected energy is -7.02 eV/atom. As for the density of states at the Fermi level: 5.43 states/eV/cell.